(1)
The following is a PBE calculation of a relaxed structure of YPuGa, from Alexandria.

Cell and atoms, written as POSCAR:
```
YPuGa
1.0
3.5902 0.0000 0.0000
0.0000 3.5902 0.0000
-1.7951 -1.7951 5.9461
Y Ga Pu
1 1 1
Direct
0.2625 0.2625 0.5250
0.6177 0.6177 0.2354
0.9698 0.9698 0.9395
```

Results
crystal system = tetragonal
offset from the most stable computed form = 0.000 eV per atom
SG = I4mm (107)

***

(2)
The following is a PBE calculation of a relaxed structure of Ba2Sn2Au5, from Alexandria.

Cell and atoms, written as POSCAR:
```
Ba2Sn2Au5
1.0
-5.1426 -0.3423 1.3237
-1.2982 -0.3941 -5.1454
0.7241 -8.9375 0.5018
Ba Sn Au
2 2 5
Direct
0.0000 0.0000 0.0000
0.0000 0.0000 0.5000
0.5000 0.5000 0.1807
0.5000 0.5000 0.8193
0.5000 0.0000 0.2575
0.5000 0.0000 0.7425
0.5000 0.5000 0.5000
0.0000 0.5000 0.2575
0.0000 0.5000 0.7425
```

Results
crystal system = tetragonal
SG = P4/mmm (123)
energy = -3.626 eV per atom

***

(3)
The following is a PBE calculation of a relaxed structure of SrMg2SiHg, from Alexandria.

Cell and atoms, written as POSCAR:
```
SrMg2SiHg
1.0
6.7343 0.0000 0.0000
0.0000 5.5480 0.0000
0.0000 0.0000 6.7343
Mg Sr Si Hg
2 1 1 1
Direct
0.0000 0.0000 0.5000
0.5000 0.0000 0.0000
0.0000 0.0000 0.0000
0.0000 0.5000 0.0000
0.5000 0.5000 0.5000
```

Results
E_form (uncorrected) = 4.93 eV/f.u.
crystal system = tetragonal
SG = P4/mmm (123)

***

(4)
The following is a PBE calculation of a relaxed structure of UVP2, from Alexandria.

Cell and atoms, written as POSCAR:
```
UVP2
1.0
3.6817 0.0009 0.0020
-0.0011 3.6823 -0.0011
-1.8403 -1.8402 5.3160
U V P
1 1 2
Direct
0.2214 0.8811 0.2282
0.4709 0.6313 0.7282
0.8353 0.4953 0.4565
0.6076 0.2670 0.9998
```

Results
crystal system = tetragonal
offset from the most stable computed form = 0.259 eV per atom
SG = I-4m2 (119)

***

(5)
The following is a PBE calculation of a relaxed structure of CdReP2Cl, from Alexandria.

Cell and atoms, written as POSCAR:
```
CdReP2Cl
1.0
4.5735 0.0000 0.0000
0.0000 4.5735 0.0000
0.0000 0.0000 5.2776
Re Cl P Cd
1 1 2 1
Direct
0.0000 0.0000 0.0000
0.0000 0.0000 0.5000
0.0000 0.5000 0.0000
0.5000 0.0000 0.0000
0.5000 0.5000 0.5000
```

Results
E_form (uncorrected) = 1.57 eV/f.u.
crystal system = tetragonal
offset from the most stable computed form = 0.000 eV per atom
SG = P4/mmm (123)

***

(6)
The following is a PBE calculation of a relaxed structure of CrGa2OsSe, from Alexandria.

Cell and atoms, written as POSCAR:
```
CrGa2OsSe
1.0
-0.3766 -3.8280 2.7694
4.3316 -0.7207 -0.4072
0.8061 2.6854 3.8215
Cr Os Ga Se
1 1 2 1
Direct
0.0000 0.0000 0.0000
0.5000 0.5000 0.5000
0.0000 0.0000 0.5000
0.5000 0.0000 0.0000
0.0000 0.5000 0.0000
```

Results
E_form (uncorrected) = 5.84 eV/f.u.
crystal system = tetragonal
SG = P4/mmm (123)

***

(7)
The following is a PBE calculation of a relaxed structure of Ac3Er5Te12, from Alexandria.

Cell and atoms, written as POSCAR:
```
Ac3Er5Te12
1.0
-9.7008 2.7908 -12.4646
9.8259 -12.1857 -3.4958
-8.7904 -3.7465 12.8822
Ac Te Er
12 48 20
Direct
0.7500 0.3750 0.1250
0.8750 0.7500 0.1250
0.3750 0.7500 0.6250
0.2500 0.1250 0.3750
0.8750 0.1250 0.2500
0.3750 0.6250 0.2500
0.6250 0.3750 0.7500
0.1250 0.8750 0.7500
0.7500 0.8750 0.6250
0.6250 0.2500 0.3750
0.1250 0.2500 0.8750
0.2500 0.6250 0.8750
0.7156 0.1256 0.0407
0.3251 0.5407 0.4151
0.9593 0.3744 0.2844
0.5407 0.2156 0.1256
0.5901 0.7156 0.6749
0.9593 0.5849 0.1749
0.3251 0.7844 0.4099
0.0849 0.9099 0.1256
0.5849 0.9593 0.6749
0.7156 0.5901 0.1749
0.7844 0.4593 0.3744
0.8251 0.9151 0.0407
0.1256 0.7156 0.5407
0.3744 0.4151 0.0901
0.0901 0.9151 0.3744
0.4099 0.1256 0.5849
0.0901 0.1749 0.2156
0.4593 0.6749 0.0849
0.8251 0.9099 0.2844
0.1256 0.4099 0.0849
0.3744 0.9593 0.7844
0.5849 0.6256 0.4099
0.9151 0.8251 0.5407
0.7844 0.3251 0.9099
0.4151 0.3744 0.5901
0.0849 0.1749 0.4593
0.2156 0.6749 0.0901
0.1749 0.0901 0.7156
0.6256 0.0407 0.2156
0.8744 0.5901 0.9151
0.5407 0.3251 0.9151
0.5901 0.8744 0.4151
0.9099 0.8251 0.7844
0.9099 0.0849 0.6256
0.8744 0.2844 0.4593
0.1749 0.0849 0.9593
0.6256 0.5849 0.9099
0.4151 0.0407 0.3251
0.2844 0.4099 0.8251
0.2156 0.5407 0.6256
0.9151 0.0901 0.8744
0.6749 0.2156 0.5901
0.4593 0.7844 0.8744
0.0407 0.4151 0.8251
0.4099 0.2844 0.3251
0.0407 0.6256 0.7156
0.6749 0.4593 0.5849
0.2844 0.8744 0.9593
0.1250 0.3750 0.2500
0.0000 0.5000 0.0000
0.0000 0.0000 0.0000
0.3750 0.2500 0.1250
0.5000 0.0000 0.5000
0.5000 0.5000 0.0000
0.1250 0.7500 0.3750
0.7500 0.1250 0.8750
0.7500 0.6250 0.3750
0.3750 0.1250 0.7500
0.6250 0.8750 0.2500
0.5000 0.5000 0.5000
0.5000 0.0000 0.0000
0.0000 0.0000 0.5000
0.2500 0.3750 0.6250
0.2500 0.8750 0.1250
0.0000 0.5000 0.5000
0.8750 0.2500 0.6250
0.6250 0.7500 0.8750
0.8750 0.6250 0.7500
```

Results
E_form (uncorrected) = -26.60 eV/f.u.
crystal system = cubic
SG = Ia-3d (230)

***

(8)
The following is a PBE calculation of a relaxed structure of CsAg2PdBr8, from Alexandria.

Cell and atoms, written as POSCAR:
```
CsAg2PdBr8
1.0
6.6032 0.1804 0.2806
0.1809 6.1433 1.0705
0.4216 1.7657 10.0832
Cs Ag Pd Br
1 2 1 8
Direct
0.0000 0.0000 0.5000
0.5131 0.5747 0.8097
0.4869 0.4253 0.1903
0.0000 0.0000 0.0000
0.1626 0.7077 0.2061
0.7485 0.7097 0.9881
0.7560 0.0809 0.1838
0.8374 0.2923 0.7939
0.2515 0.2903 0.0119
0.2440 0.9191 0.8162
0.5081 0.7249 0.5323
0.4919 0.2751 0.4677
```

Results
E_form (uncorrected) = -5.57 eV/f.u.
crystal system = triclinic
SG = P-1 (2)

***

(9)
The following is a PBE calculation of a relaxed structure of CsTlZnF4, from Alexandria.

Cell and atoms, written as POSCAR:
```
CsTlZnF4
1.0
-2.5042 4.5130 2.8520
-1.1287 -3.8476 5.0975
8.6878 -0.8116 1.3111
Cs Tl Zn F
2 2 2 8
Direct
0.6246 0.7500 0.9080
0.3754 0.2500 0.0920
0.8541 0.7500 0.5278
0.1459 0.2500 0.4722
0.2230 0.7500 0.2863
0.7770 0.2500 0.7137
0.9803 0.4959 0.7807
0.0197 0.9959 0.2193
0.0197 0.5041 0.2193
0.9803 0.0041 0.7807
0.4619 0.7500 0.1906
0.5381 0.2500 0.8094
0.4011 0.7500 0.5290
0.5989 0.2500 0.4710
```

Results
E_form (uncorrected) = -16.00 eV/f.u.
crystal system = monoclinic
SG = P2_1/m (11)

***

(10)
The following is a PBE calculation of a relaxed structure of TcAu3, from Alexandria.

Cell and atoms, written as POSCAR:
```
TcAu3
1.0
-7.5953 5.5887 1.4519
-7.0033 4.9226 4.2134
-5.6264 7.1284 2.9257
Au Tc
3 1
Direct
0.0035 0.0035 0.0035
0.2500 0.2500 0.2500
0.4965 0.4965 0.4965
0.7500 0.7500 0.7500
```

Results
crystal system = trigonal
SG = R-3m (166)
energy = -4.785 eV per atom

***

(11)
The following is a PBE calculation of a relaxed structure of ZrTaSi, from Alexandria.

Cell and atoms, written as POSCAR:
```
ZrTaSi
1.0
-0.4001 3.2362 1.1982
-3.0387 -0.9021 1.4218
4.2625 -2.3047 7.6478
Si Zr Ta
2 2 2
Direct
0.0000 0.0000 0.7198
0.0000 0.0000 0.3455
0.5000 0.5000 0.5302
0.5000 0.5000 0.2057
0.5000 0.5000 0.8495
0.0000 0.0000 0.0211
```

Results
E_form (uncorrected) = -1.13 eV/f.u.
crystal system = tetragonal
SG = P4mm (99)

***

(12)
The following is a PBE calculation of a relaxed structure of Pr4Ho10Tl, from Alexandria.

Cell and atoms, written as POSCAR:
```
Pr4Ho10Tl
1.0
-3.2486 3.3407 5.9327
-8.8167 1.2586 -0.7402
-2.9418 -5.5821 6.3287
Pr Ho Tl
4 10 1
Direct
0.2315 0.0004 0.5366
0.7681 0.4634 0.0004
0.2319 0.5366 0.9996
0.7685 0.9996 0.4634
0.2500 0.5000 0.5000
0.7126 0.2056 0.7945
0.0818 0.2055 0.2056
0.4929 0.7945 0.7944
0.7127 0.7944 0.2055
0.2874 0.7944 0.2055
0.7500 0.5000 0.5000
0.2873 0.2056 0.7945
0.5071 0.2055 0.2056
0.9182 0.7945 0.7944
0.0000 0.0000 0.0000
```

Results
crystal system = tetragonal
SG = I4/mmm (139)
energy = -4.286 eV per atom

***

(13)
The following is a PBE calculation of a relaxed structure of RbNbW3, from Alexandria.

Cell and atoms, written as POSCAR:
```
RbNbW3
1.0
-3.5971 1.0156 -2.7721
0.1042 -4.3231 -1.7190
-2.9504 -1.3908 3.3189
Nb Rb W
1 1 3
Direct
0.5000 0.5000 0.5000
0.0000 0.0000 0.0000
0.0000 0.5000 0.0000
0.0000 0.0000 0.5000
0.5000 0.0000 0.0000
```

Results
crystal system = cubic
offset from the most stable computed form = 1.252 eV per atom
SG = Pm-3m (221)

***

(14)
The following is a PBE calculation of a relaxed structure of CaTlInAg, from Alexandria.

Cell and atoms, written as POSCAR:
```
CaTlInAg
1.0
-4.8392 0.5259 1.8180
-2.3394 -3.9976 2.3551
-0.8494 0.1390 5.1243
Tl Ca Ag In
1 1 1 1
Direct
0.2500 0.2500 0.2500
0.5000 0.5000 0.5000
0.7500 0.7500 0.7500
0.0000 0.0000 0.0000
```

Results
crystal system = cubic
SG = F-43m (216)
energy = -2.716 eV per atom

***

(15)
The following is a PBE calculation of a relaxed structure of CePmZrSn, from Alexandria.

Cell and atoms, written as POSCAR:
```
CePmZrSn
1.0
5.2741 0.0000 0.0000
2.6370 4.5675 0.0000
2.6370 1.5225 4.3063
Zr Sn Ce Pm
1 1 1 1
Direct
0.5000 0.5000 0.5000
0.2500 0.2500 0.2500
0.7500 0.7500 0.7500
0.0000 0.0000 0.0000
```

Results
crystal system = cubic
SG = F-43m (216)
energy = -5.976 eV per atom

***

(16)
The following is a PBE calculation of a relaxed structure of Li2YMg, from Alexandria.

Cell and atoms, written as POSCAR:
```
Li2YMg
1.0
5.3232 0.0000 0.0000
0.0000 3.2245 -0.0003
0.0000 0.4208 5.8094
Li Mg Y
2 1 1
Direct
0.0000 0.0758 0.0122
0.0000 0.4242 0.4878
0.5000 0.2500 0.2500
0.5000 0.7500 0.7500
```

Results
crystal system = monoclinic
SG = P2/m (10)
energy = -2.883 eV per atom

***

(17)
The following is a PBE calculation of a relaxed structure of Pm2Pr3Nd6Tl, from Alexandria.

Cell and atoms, written as POSCAR:
```
Pm2Pr3Nd6Tl
1.0
6.3160 -0.0123 -0.0035
-3.1671 5.4646 -0.0035
-1.0718 -1.8557 11.8794
Pm Pr Nd Tl
2 3 6 1
Direct
0.3343 0.6657 0.0000
0.6657 0.3343 0.0000
0.1693 0.8307 0.5000
0.8307 0.1693 0.5000
0.5000 0.5000 0.5000
0.9192 0.5939 0.7552
0.7563 0.7563 0.2470
0.0808 0.4061 0.2448
0.5939 0.9192 0.7552
0.2437 0.2437 0.7530
0.4061 0.0808 0.2448
0.0000 0.0000 0.0000
```

Results
crystal system = monoclinic
SG = C2/m (12)
energy = -4.590 eV per atom

***

(18)
The following is a PBE calculation of a relaxed structure of BaZrBe, from Alexandria.

Cell and atoms, written as POSCAR:
```
BaZrBe
1.0
-1.8733 -3.4652 1.9642
0.2727 0.1597 -4.3903
4.6651 -2.4073 0.2022
Be Ba Zr
1 1 1
Direct
0.3333 0.6667 0.4998
0.0000 0.0000 0.0000
0.6667 0.3333 0.5002
```

Results
crystal system = hexagonal
offset from the most stable computed form = 0.228 eV per atom
SG = P-6m2 (187)

***

(19)
The following is a PBE calculation of a relaxed structure of La5Tb2Nd4, from Alexandria.

Cell and atoms, written as POSCAR:
```
La5Tb2Nd4
1.0
3.5088 0.0000 -0.8559
-0.4085 8.7422 -1.6747
1.1554 1.4152 12.3566
La Tb Nd
5 2 4
Direct
0.8173 0.5251 0.6346
0.1827 0.4749 0.3654
0.8684 0.9514 0.7369
0.5000 0.0000 0.0000
0.1316 0.0486 0.2631
0.4134 0.3039 0.8269
0.5866 0.6961 0.1731
0.2732 0.1748 0.5465
0.9601 0.6530 0.9203
0.7268 0.8252 0.4535
0.0399 0.3470 0.0797
```

Results
crystal system = monoclinic
offset from the most stable computed form = 0.014 eV per atom
SG = C2/m (12)

***

(20)
The following is a PBE calculation of a relaxed structure of Ac3LaGe3, from Alexandria.

Cell and atoms, written as POSCAR:
```
Ac3LaGe3
1.0
6.5811 -0.3661 -0.4968
-1.8600 6.3234 -0.4968
-1.8600 -2.3471 5.8926
Ac La Ge
3 1 3
Direct
0.5415 0.5415 0.1128
0.5415 0.1128 0.5415
0.1128 0.5415 0.5415
0.9764 0.9764 0.9764
0.5479 0.0397 0.0397
0.0397 0.0397 0.5479
0.0397 0.5479 0.0397
```

Results
crystal system = trigonal
SG = R3m (160)
energy = -5.003 eV per atom

***

(21)
The following is a PBE calculation of a relaxed structure of Tb2Tm2Ru3, from Alexandria.

Cell and atoms, written as POSCAR:
```
Tb2Tm2Ru3
1.0
3.3449 0.3561 0.5026
-0.7986 7.5281 0.1182
0.8632 -0.8061 5.9905
Tb Tm Ru
2 2 3
Direct
0.5841 0.2948 0.8550
0.4159 0.7052 0.1450
0.6790 0.8397 0.6441
0.3210 0.1603 0.3559
0.0000 0.0000 0.0000
0.8333 0.4443 0.3124
0.1667 0.5557 0.6876
```

Results
crystal system = triclinic
offset from the most stable computed form = 0.052 eV per atom
SG = P-1 (2)

***

(22)
The following is a PBE calculation of a relaxed structure of TaTiNbZn, from Alexandria.

Cell and atoms, written as POSCAR:
```
TaTiNbZn
1.0
4.5808 0.0000 0.0000
2.2904 3.9671 0.0000
2.2904 1.3224 3.7402
Nb Ti Zn Ta
1 1 1 1
Direct
0.2500 0.2500 0.2500
0.0000 0.0000 0.0000
0.7500 0.7500 0.7500
0.5000 0.5000 0.5000
```

Results
crystal system = cubic
offset from the most stable computed form = 0.091 eV per atom
SG = F-43m (216)

***

Q: Which ρ values were calculated for the entries above? A: 8.72; 9.77; 2.41; 8.08; 5.96; 7.72; 6.37; 4.59; 5.18; 16.70; 9.13; 8.11; 12.03; 7.82; 7.92; 2.12; 7.23; 4.48; 6.66; 7.65; 10.62; 9.46, in Mg/m³.